This record from Alexandria via LeMat-Bulk describes an optimized crystal structure of Dy4CdPd. The functional is GGA-PBE.

Properties
- Uncorrected energy: -51.20 eV for the cell shown
- Density: 7.9 g/cm3
- Energy relative to the lowest polymorph listed for this composition: 271 meV per atom
- DFT formation energy: -180.3 meV per atom

CIF file:
```
data_Dy4CdPd
_cell_length_a 6.996
_cell_length_b 7.185
_cell_length_c 7.257
_cell_angle_alpha 90.00
_cell_angle_beta 93.96
_cell_angle_gamma 90.00
_space_group_name_H-M_alt 'P 1'
_space_group_IT_number 1
loop_
_space_group_symop_operation_xyz
'x,y,z'
loop_
_atom_site_label
_atom_site_fract_x
_atom_site_fract_y
_atom_site_fract_z
Dy1 0.880 0.647 0.171
Dy2 0.620 0.147 0.829
Dy3 0.321 0.339 0.351
Dy4 0.179 0.839 0.649
Dy5 0.120 0.353 0.829
Dy6 0.380 0.853 0.171
Dy7 0.679 0.661 0.649
Dy8 0.821 0.161 0.351
Cd1 0.000 0.000 0.000
Cd2 0.500 0.500 0.000
Pd1 0.500 0.000 0.500
Pd2 0.000 0.500 0.500
```